Entry from Alexandria via LeMat-Bulk: crystalline PmZn2Pb at its relaxed geometry (PBE-GGA).

POSCAR file:
```
PmZn2Pb
1.0
3.633 0.000 0.000
0.000 3.633 0.000
0.000 0.000 7.236
Pm Zn Pb
1 2 1
direct
0.500 0.500 0.000 Pm
0.000 0.000 0.743 Zn
0.000 0.000 0.257 Zn
0.500 0.500 0.500 Pb
```

Energy of formation from the pure elements (eV/atom): -0.15
Space-group type: No. 123
Size of the total moment (μB per atom): 0.0715